The following is a DFT calculation (PBE-GGA) of crystalline AlVAsSe2 at its relaxed geometry.

## Properties
VASP energy (eV/atom): -4.26
Formation energy from raw total energies (eV/atom): 0.639

abc: 4.865 4.865 4.722
angles: 90.00 90.00 90.00
Space group P4/mmm (No. 123)
Symmetry-distinct sites (fractional):
Al1 0.000 0.000 0.000 [1 per cell]
V1 0.500 0.500 0.500 [1 per cell]
As1 0.000 0.000 0.500 [1 per cell]
Se1 0.000 0.500 0.000 [2 per cell]